[1]
This record from Alexandria describes a relaxed TlAsPt2 crystal. The functional is PBE.

Unit cell a=3.964 b=4.574 c=4.799 alpha=90.00 beta=102.17 gamma=90.00
Atoms (fractional coordinates):
Tl: 0.000 0.000 0.000
As: 0.654 0.500 0.394
Pt: 0.214 0.500 0.729
Pt: 0.463 0.000 0.516

The space group is No. 6.

***

[2]
This record from Alexandria describes a relaxed TlAsPt2 crystal. The functional is PBE.

Unit cell a=4.823 b=4.823 c=3.135 alpha=90.00 beta=90.00 gamma=90.00
Atoms (fractional coordinates):
Tl: 0.000 0.000 0.000
As: 0.500 0.500 0.000
Pt: 0.000 0.500 0.500
Pt: 0.500 0.000 0.500

The space group is No. 123.

***

[3]
This record from Alexandria describes a relaxed TlAs2Pt crystal. The functional is PBE.

Unit cell a=3.431 b=3.431 c=7.311 alpha=90.00 beta=90.00 gamma=90.00
Atoms (fractional coordinates):
Tl: 0.000 0.000 0.000
As: 0.000 0.000 0.553
As: 0.500 0.500 0.330
Pt: 0.500 0.500 0.694

The calculation puts the energy above the lowest structure with this stoichiometry at 343 meV per atom. The space group is No. 99.

***

[4]
This record from Alexandria describes a relaxed TlAsPt2 crystal. The functional is PBE.

Unit cell a=4.759 b=4.759 c=15.829 alpha=90.00 beta=90.00 gamma=90.00
Atoms (fractional coordinates):
Tl: 0.000 0.000 0.000
Tl: 0.000 0.500 0.250
Tl: 0.500 0.000 0.750
Tl: 0.500 0.500 0.500
As: 0.000 0.000 0.500
As: 0.000 0.500 0.750
As: 0.500 0.000 0.250
As: 0.500 0.500 0.000
Pt: 0.165 0.250 0.625
Pt: 0.250 0.665 0.875
Pt: 0.250 0.835 0.375
Pt: 0.335 0.250 0.125
Pt: 0.665 0.750 0.125
Pt: 0.750 0.165 0.375
Pt: 0.750 0.335 0.875
Pt: 0.835 0.750 0.625

The space group is No. 122.

***

[5]
This record from Alexandria describes a relaxed TlAsPt2 crystal. The functional is PBE.

Unit cell a=3.072 b=5.369 c=9.126 alpha=90.00 beta=90.00 gamma=90.00
Atoms (fractional coordinates):
Tl: 0.000 0.000 0.000
Tl: 0.500 0.500 0.500
As: 0.000 0.000 0.500
As: 0.500 0.500 0.000
Pt: 0.000 0.500 0.231
Pt: 0.000 0.500 0.769
Pt: 0.500 0.000 0.269
Pt: 0.500 0.000 0.731

The space group is No. 71.

***

[6]
This record from Alexandria describes a relaxed TlAs2Pt crystal. The functional is PBE.

Unit cell a=11.219 b=2.954 c=6.072 alpha=90.00 beta=113.63 gamma=90.00
Atoms (fractional coordinates):
Tl: 0.000 0.000 0.000
Tl: 0.500 0.500 0.000
As: 0.204 0.000 0.648
As: 0.296 0.500 0.352
As: 0.704 0.500 0.648
As: 0.796 0.000 0.352
Pt: 0.000 0.500 0.500
Pt: 0.500 0.000 0.500

The calculation puts the energy above the lowest structure with this stoichiometry at 223 meV per atom. The space group is No. 12.

***

no.,energy of formation from the pure elements (eV/atom),calculated volume (Å³ per cell)
1,-0.04,85.04
2,0.10,72.93
3,0.11,86.04
4,-0.04,358.48
5,0.18,150.55
6,0.00,184.38